Record 1
Computed, not measured: crystalline LaTcNiAg2 at its relaxed geometry at the GGA-PBE level of DFT.

Geometry as CIF:
```
data_LaTcNiAg2
_cell_length_a 5.1015
_cell_length_b 5.1015
_cell_length_c 4.4933
_cell_angle_alpha 90.00
_cell_angle_beta 90.00
_cell_angle_gamma 90.00
_symmetry_space_group_name_H-M 'P 4/m m m'
_symmetry_Int_Tables_number 123
_symmetry_space_group_name_Hall '-P 4 2'
loop_
_atom_site_label
_atom_site_fract_x
_atom_site_fract_y
_atom_site_fract_z
La1 0.0000 0.0000 0.0000
Tc1 0.5000 0.5000 0.5000
Ni1 0.5000 0.5000 0.0000
Ag1 0.0000 0.5000 0.5000
```

Properties
- final energy (eV/cell) = -23.80
- volume (Å³ per cell) = 116.9

---

Record 2
Computed, not measured: crystalline LaTlNiAg at its relaxed geometry at the GGA-PBE level of DFT.

Geometry as CIF:
```
data_LaTlNiAg
_cell_length_a 7.0726
_cell_length_b 7.0726
_cell_length_c 7.0726
_cell_angle_alpha 90.00
_cell_angle_beta 90.00
_cell_angle_gamma 90.00
_symmetry_space_group_name_H-M 'F -4 3 m'
_symmetry_Int_Tables_number 216
_symmetry_space_group_name_Hall 'F -4 2 3'
loop_
_atom_site_label
_atom_site_fract_x
_atom_site_fract_y
_atom_site_fract_z
La1 0.0000 0.0000 0.0000
Tl1 0.0000 0.0000 0.5000
Ni1 0.2500 0.2500 0.7500
Ag1 0.2500 0.2500 0.2500
```

Properties
- final energy (eV/cell) = -65.69
- volume (Å³ per cell) = 353.8

---

Record 3
Computed, not measured: crystalline La2TlNiAg at its relaxed geometry at the GGA-PBE level of DFT.

Geometry as CIF:
```
data_La2TlNiAg
_cell_length_a 5.3197
_cell_length_b 5.3197
_cell_length_c 4.9477
_cell_angle_alpha 90.00
_cell_angle_beta 90.00
_cell_angle_gamma 90.00
_symmetry_space_group_name_H-M 'P 4/m m m'
_symmetry_Int_Tables_number 123
_symmetry_space_group_name_Hall '-P 4 2'
loop_
_atom_site_label
_atom_site_fract_x
_atom_site_fract_y
_atom_site_fract_z
La1 0.0000 0.5000 0.0000
Tl1 0.0000 0.0000 0.5000
Ni1 0.5000 0.5000 0.0000
Ag1 0.5000 0.5000 0.5000
```

Properties
- final energy (eV/cell) = -21.84
- volume (Å³ per cell) = 140.0